This record from Alexandria via LeMat-Bulk describes an optimized crystal structure of SiBSb. The functional is PBE.

Calculated values
**ρ**: 4.65 g/cm3
**Formation energy from raw total energies**: 76 kJ/mol of formula units
**N(E_F)**: 1.56 states/eV per cell

Geometry as POSCAR:
```
SiBSb
1.0
3.304 0.479 0.355
0.875 5.642 0.021
0.794 1.545 6.364
B Si Sb
2 2 2
direct
0.048 0.540 0.864 B
0.952 0.460 0.136 B
0.462 0.304 0.272 Si
0.538 0.696 0.728 Si
0.305 0.197 0.694 Sb
0.695 0.803 0.306 Sb
```